[1]
Here is an optimized crystal structure of NaNpBi from Alexandria via LeMat-Bulk. Energies are from PBE.

V ... 174.68 Å³ per cell
Formation enthalpy at 0 K ... 4.102 kcal/mol of atoms
Total moment ... 0.00 μB per cell

Lattice parameters (Å, degrees): 4.003 3.396 16.280 99.88 90.00 126.12
Fractional coordinates of all 6 atoms:
Bi 0.942 0.883 0.902
Bi 0.058 0.117 0.098
Np 0.288 0.577 0.462
Na 0.374 0.748 0.730
Np 0.712 0.423 0.538
Na 0.626 0.252 0.270


[2]
Here is an optimized crystal structure of AcMgGePt from Alexandria via LeMat-Bulk. Energies are from PBE.

V ... 94.27 Å³ per cell
Formation enthalpy at 0 K ... -13.073 kcal/mol of atoms
Total moment ... 0.00 μB per cell

Lattice parameters (Å, degrees): 5.109 5.109 5.109 60.00 60.00 60.00
Fractional coordinates of all 4 atoms:
Ac 0.750 0.750 0.750
Mg 0.250 0.250 0.250
Pt 0.500 0.500 0.500
Ge 0.000 0.000 0.000


[3]
Here is an optimized crystal structure of CoReTc2 from Alexandria via LeMat-Bulk. Energies are from PBE.

V ... 54.67 Å³ per cell
Formation enthalpy at 0 K ... 1.759 kcal/mol of atoms
Energy above the most stable polymorph in this dataset ... 48 meV/atom
Total moment ... 0.00 μB per cell

Lattice parameters (Å, degrees): 2.684 2.684 7.588 90.00 90.00 90.00
Fractional coordinates of all 4 atoms:
Co 0.000 0.000 0.503
Tc 0.500 0.500 0.261
Re 0.500 0.500 0.733
Tc 0.000 0.000 0.004


[4]
Here is an optimized crystal structure of La2Pr5Tm3 from Alexandria via LeMat-Bulk. Energies are from PBE.

V ... 703.12 Å³ per cell
Formation enthalpy at 0 K ... 4.042 kcal/mol of atoms
Energy above the most stable polymorph in this dataset ... 0 meV/atom
Total moment ... 0.00 μB per cell

Lattice parameters (Å, degrees): 9.876 9.923 9.514 109.19 108.98 111.81
Fractional coordinates of all 20 atoms:
Pr 0.017 0.267 0.534
Tm 0.231 0.780 0.243
Tm 0.273 0.023 0.046
Pr 0.522 0.772 0.543
Tm 0.512 0.463 0.243
La 0.285 0.731 0.756
Pr 0.781 0.531 0.063
Tm 0.769 0.220 0.757
Pr 0.888 0.617 0.765
La 0.029 0.975 0.244
Pr 0.377 0.148 0.765
Pr 0.219 0.469 0.937
Pr 0.623 0.852 0.235
Pr 0.112 0.383 0.235
Pr 0.983 0.733 0.466
Tm 0.488 0.537 0.757
La 0.715 0.269 0.244
Tm 0.727 0.977 0.954
Pr 0.478 0.228 0.457
La 0.971 0.025 0.756


[5]
Here is an optimized crystal structure of Er2CoIr3 from Alexandria via LeMat-Bulk. Energies are from PBE.

V ... 205.50 Å³ per cell
Formation enthalpy at 0 K ... -16.208 kcal/mol of atoms
Total moment ... 0.00 μB per cell

Lattice parameters (Å, degrees): 5.343 5.343 8.311 90.00 90.00 120.00
Fractional coordinates of all 12 atoms:
Er 0.333 0.667 0.565
Er 0.667 0.333 0.065
Ir 0.335 0.168 0.750
Er 0.333 0.667 0.935
Co 0.000 0.000 0.000
Ir 0.665 0.832 0.250
Ir 0.168 0.832 0.250
Ir 0.832 0.665 0.750
Ir 0.832 0.168 0.750
Co 0.000 0.000 0.500
Er 0.667 0.333 0.435
Ir 0.168 0.335 0.250


[6]
Here is an optimized crystal structure of AcMgPtAu from Alexandria via LeMat-Bulk. Energies are from PBE.

V ... 95.92 Å³ per cell
Formation enthalpy at 0 K ... -16.889 kcal/mol of atoms
Energy above the most stable polymorph in this dataset ... 151 meV/atom
Total moment ... 0.00 μB per cell

Lattice parameters (Å, degrees): 5.138 5.138 5.138 60.00 60.00 60.00
Fractional coordinates of all 4 atoms:
Ac 0.000 0.000 0.000
Mg 0.500 0.500 0.500
Au 0.250 0.250 0.250
Pt 0.750 0.750 0.750


[7]
Here is an optimized crystal structure of K3CdAu from Alexandria via LeMat-Bulk. Energies are from PBE.

V ... 406.29 Å³ per cell
Formation enthalpy at 0 K ... -3.889 kcal/mol of atoms
Energy above the most stable polymorph in this dataset ... 0 meV/atom
Total moment ... 0.00 μB per cell

Lattice parameters (Å, degrees): 5.317 7.518 10.165 90.00 90.00 90.00
Fractional coordinates of all 10 atoms:
K 0.750 0.752 0.250
K 0.250 0.775 0.955
K 0.750 0.225 0.455
Cd 0.250 0.421 0.250
Cd 0.750 0.579 0.750
Au 0.750 0.953 0.750
K 0.250 0.248 0.750
Au 0.250 0.047 0.250
K 0.250 0.775 0.545
K 0.750 0.225 0.045


[8]
Here is an optimized crystal structure of Na2ZnCuCl6 from Alexandria via LeMat-Bulk. Energies are from PBE.

V ... 252.59 Å³ per cell
E ... -3.08 eV/atom
Total moment ... 1.00 μB per cell

Lattice parameters (Å, degrees): 7.049 6.606 7.777 59.30 61.89 57.42
Last column: magnetic moment on the atom in μB.
Fractional coordinates of all 10 atoms:
Cl 0.677 0.114 0.782  0.07
Cu 0.329 0.324 0.997  0.49
Cl 0.012 0.539 0.200  0.12
Zn 0.724 0.835 0.640  0.01
Na 0.560 0.538 0.413  0.00
Cl 0.052 0.492 0.699  0.01
Cl 0.635 0.128 0.336  0.01
Na 0.996 0.029 0.983  0.00
Cl 0.266 0.962 0.191  0.13
Cl 0.410 0.701 0.775  0.06